[1]
DFT (PBE) results for an optimized crystal structure of Tb2PmCu2Ge2.

Summary:
E: -0.1833 Ha/atom
energy of formation from the pure elements: -0.498 eV/atom

a b c (Å): 4.3033 4.3033 28.5766
angles (deg): 90.00 90.00 120.00
Space group R-3m (No. 166, hexagonal axes)
Inequivalent atoms, fractional coordinates:
Tb 0.0000 0.0000 0.1263 (multiplicity 6)
Pm 0.0000 0.0000 0.0000 (multiplicity 3)
Cu 0.0000 0.0000 0.4015 (multiplicity 6)
Ge 0.0000 0.0000 0.2631 (multiplicity 6)

[2]
DFT (PBE) results for an optimized crystal structure of KLiCd2.

Summary:
E: -0.0437 Ha/atom
energy of formation from the pure elements: 0.022 eV/atom
distance to the lowest polymorph of the same formula: 12.9 kJ per mole of atoms

a b c (Å): 3.715 5.609 10.683
angles (deg): 90.00 90.00 90.00
Space group Immm (No. 71)
Inequivalent atoms, fractional coordinates:
K 0.000 0.000 0.000 (multiplicity 2)
Li 0.000 0.000 0.500 (multiplicity 2)
Cd 0.000 0.500 0.212 (multiplicity 4)

[3]
DFT (PBE) results for an optimized crystal structure of BaAlTeI2.

Summary:
uncorrected formation energy: -0.315 eV per atom
E: -0.0991 Ha/atom
distance to the lowest polymorph of the same formula: 54.4 kJ per mole of atoms

a b c (Å): 6.686 6.686 6.753
angles (deg): 90.00 90.00 90.00
Space group P4/mmm (No. 123)
Inequivalent atoms, fractional coordinates:
Ba 0.000 0.000 0.000 (multiplicity 1)
Al 0.500 0.500 0.500 (multiplicity 1)
Te 0.000 0.000 0.500 (multiplicity 1)
I 0.000 0.500 0.000 (multiplicity 2)

[4]
DFT (PBE) results for an optimized crystal structure of Tm2PdI2.

Summary:
uncorrected formation energy: -1.074 eV per atom
E: -0.1661 Ha/atom

a b c (Å): 4.0645 4.0645 34.8385
angles (deg): 90.00 90.00 120.00
Space group R-3m (No. 166, hexagonal axes)
Inequivalent atoms, fractional coordinates:
Tm 0.0000 0.0000 0.1218 (multiplicity 6)
Pd 0.0000 0.0000 0.5000 (multiplicity 3)
I 0.0000 0.0000 0.2724 (multiplicity 6)

[5]
DFT (PBE) results for an optimized crystal structure of ZrTl2Cl.

Summary:
uncorrected formation energy: -0.375 eV per atom
E: -0.1528 Ha/atom
distance to the lowest polymorph of the same formula: 16.3 kJ per mole of atoms

a b c (Å): 11.891 3.216 5.563
angles (deg): 90.00 108.91 90.00
Space group Cm (No. 8)
Inequivalent atoms, fractional coordinates:
Zr 0.000 0.000 0.000 (multiplicity 2)
Tl 0.050 0.500 0.515 (multiplicity 2)
Tl 0.253 0.500 0.150 (multiplicity 2)
Cl 0.335 0.000 0.722 (multiplicity 2)

[6]
DFT (PBE) results for an optimized crystal structure of TcHgPO6.

Summary:
uncorrected formation energy: -1.256 eV per atom
E: -0.2333 Ha/atom

a b c (Å): 4.9951 4.9951 4.9895
angles (deg): 90.00 90.00 120.00
Space group P312 (No. 149)
Inequivalent atoms, fractional coordinates:
Tc 0.0000 0.0000 0.0000 (multiplicity 1)
Hg 0.6667 0.3333 0.5000 (multiplicity 1)
P 0.3333 0.6667 0.0000 (multiplicity 1)
O 0.0666 0.3687 0.1992 (multiplicity 6)

[7]
DFT (PBE) results for an optimized crystal structure of Tb6Nd2Ho3Sc.

Summary:
E: -0.1748 Ha/atom
energy of formation from the pure elements: 0.025 eV/atom

a b c (Å): 6.140 10.630 11.774
angles (deg): 90.00 99.97 90.00
Space group C2/m (No. 12)
Inequivalent atoms, fractional coordinates:
Tb 0.247 0.000 0.249 (multiplicity 4)
Tb 0.248 0.165 0.751 (multiplicity 8)
Nd 0.000 0.334 0.500 (multiplicity 4)
Ho 0.000 0.166 0.000 (multiplicity 4)
Ho 0.000 0.500 0.000 (multiplicity 2)
Sc 0.000 0.000 0.500 (multiplicity 2)

[8]
DFT (PBE) results for an optimized crystal structure of BeH4SO4.

Summary:
E: -0.1481 Ha/atom

a b c (Å): 7.993 7.993 6.152
angles (deg): 90.00 90.00 90.00
Space group I4/mcm (No. 140)
Inequivalent atoms, fractional coordinates:
Be 0.000 0.500 0.000 (multiplicity 4)
H 0.125 0.375 0.068 (multiplicity 16)
S 0.000 0.000 0.000 (multiplicity 4)
O 0.093 0.171 0.500 (multiplicity 16)

[9]
DFT (PBE) results for an optimized crystal structure of ZrCr2Fe2.

Summary:
E: -0.3217 Ha/atom
energy of formation from the pure elements: 0.191 eV/atom
distance to the lowest polymorph of the same formula: 15.8 kJ per mole of atoms

a b c (Å): 7.023 7.023 2.641
angles (deg): 90.00 90.00 90.00
Space group P4/mbm (No. 127)
Inequivalent atoms, fractional coordinates:
Zr 0.000 0.000 0.000 (multiplicity 2)
Cr 0.150 0.350 0.000 (multiplicity 4)
Fe 0.140 0.640 0.500 (multiplicity 4)

[10]
DFT (PBE) results for an optimized crystal structure of TlTc3B.

Summary:
E: -0.1702 Ha/atom
energy of formation from the pure elements: 3.397 eV/atom
distance to the lowest polymorph of the same formula: 290.6 kJ per mole of atoms

a b c (Å): 5.168 5.168 5.168
angles (deg): 90.00 90.00 90.00
Space group Pm-3m (No. 221)
Inequivalent atoms, fractional coordinates:
Tl 0.000 0.000 0.000 (multiplicity 1)
Tc 0.000 0.000 0.500 (multiplicity 3)
B 0.500 0.500 0.500 (multiplicity 1)

[11]
DFT (PBE) results for an optimized crystal structure of Tl2AgAs.

Summary:
E: -0.1084 Ha/atom
energy of formation from the pure elements: 0.107 eV/atom
distance to the lowest polymorph of the same formula: 9.2 kJ per mole of atoms

a b c (Å): 3.251 3.983 7.945
angles (deg): 90.00 90.00 90.00
Space group Pmm2 (No. 25)
Inequivalent atoms, fractional coordinates:
Tl 0.000 0.000 0.000 (multiplicity 1)
Tl 0.500 0.500 0.331 (multiplicity 1)
Ag 0.000 0.000 0.593 (multiplicity 1)
As 0.500 0.500 0.733 (multiplicity 1)

[12]
DFT (PBE) results for an optimized crystal structure of NbInI2N.

Summary:
uncorrected formation energy: -0.078 eV per atom
E: -0.1810 Ha/atom
distance to the lowest polymorph of the same formula: 0.0 kJ per mole of atoms

a b c (Å): 5.898 5.898 4.039
angles (deg): 90.00 90.00 90.00
Space group P4/mmm (No. 123)
Inequivalent atoms, fractional coordinates:
Nb 0.000 0.000 0.000 (multiplicity 1)
In 0.500 0.500 0.500 (multiplicity 1)
I 0.000 0.500 0.000 (multiplicity 2)
N 0.000 0.000 0.500 (multiplicity 1)